DFT (PBE-GGA) results for a geometry-optimized B2C structure.

Its total energy is -84.531 eV for the cell shown. The formation enthalpy at 0 K is 0.4820 eV per atom. As for the magnetization: 0.0 μB per cell. The density of states at the Fermi level comes out at 2.16 states/eV/cell.

Lattice parameters (Å, degrees): 2.7390 2.7390 16.0819 90.00 90.00 120.00
Closest atoms and distances in Å follow each position.
Positions (direct):
B (0.6667, 0.3333, 0.8344)  3 C 1.58
B (0.3333, 0.6667, 0.6994)  3 B 1.60
B (0.6667, 0.3333, 0.7153)  3 B 1.60
B (0.6667, 0.3333, 0.3110)  1 C 1.52
B (0.0000, 0.0000, 0.3748)  1 C 1.57
B (0.3333, 0.6667, 0.4788)  3 C 1.58
B (0.3333, 0.6667, 0.1756)  4 C 1.67-1.71
B (0.0000, 0.0000, 0.0625)  3 C 1.59
C (0.0000, 0.0000, 0.8376)  3 B 1.58
C (0.0000, 0.0000, 0.4723)  4 B 1.57-1.58
C (0.6667, 0.3333, 0.2164)  1 B 1.52
C (0.3333, 0.6667, 0.0718)  4 B 1.59-1.67


DFT (PBE-GGA) results for a geometry-optimized LiCe2TlO structure.

Its total energy is -27.269 eV for the cell shown. As for the magnetization: 1.6 μB per cell. The uncorrected formation energy is -118.9 kJ per mole of atoms. The density of states at the Fermi level comes out at 9.22 states/eV/cell.

Lattice parameters (Å, degrees): 4.5647 4.8522 4.8522 90.00 90.00 90.00
Closest atoms and distances in Å follow each position.
Positions (direct):
Li (0.5000, 0.0000, 0.0000)  2 O 2.28
Ce (0.0000, 0.0000, 0.5000)  2 O 2.43
Ce (0.0000, 0.5000, 0.0000)  2 O 2.43
Tl (0.5000, 0.5000, 0.5000)  8 Ce 3.33, 4 Li 3.43
O (0.0000, 0.0000, 0.0000)  2 Li 2.28, 4 Ce 2.43